First-principles (PBE) data for crystalline Tl4NiI5 at its relaxed geometry, as listed in Alexandria.

Unit cell a=6.9981 b=8.2915 c=8.2915 alpha=79.74 beta=65.04 gamma=65.04
Fractional coordinates of all 10 atoms:
Tl1 0.4225 0.3908 0.7774
Tl2 0.8133 0.7774 0.6092
Tl3 0.1999 0.2226 0.3908
Tl4 0.5907 0.6092 0.2226
Ni1 0.0574 0.0000 0.0000
I1 0.9018 0.3367 0.8520
I2 0.2385 0.8520 0.6633
I3 0.7538 0.1480 0.3367
I4 0.0905 0.6633 0.1480
I5 0.4418 0.0000 0.0000

Output
formation energy from raw total energies	-0.4084	eV/atom